Entry 1:
{"formula": "Li2TbTlO4", "functional": "PBE", "state": "optimized geometry", "lattice": [[6.515, 0.264, -0.057], [0.260, 6.515, -0.057], [-3.399, -3.402, 4.905]], "species": ["Li", "Tb", "Li", "Li", "O", "O", "Tb", "O", "Tl", "O", "Li", "O", "Tl", "O", "O", "O"], "fractional_positions": [[0.500, 0.000, 0.000], [0.000, 0.500, 0.000], [0.500, 0.500, 0.000], [0.500, 0.000, 0.500], [0.262, 0.241, 0.017], [0.741, 0.762, 0.517], [0.000, 0.500, 0.500], [0.738, 0.759, 0.983], [0.500, 0.500, 0.500], [0.239, 0.714, 0.974], [0.000, 0.000, 0.500], [0.761, 0.286, 0.026], [0.000, 0.000, 0.000], [0.259, 0.238, 0.483], [0.214, 0.739, 0.474], [0.786, 0.261, 0.526]], "space_group": "C2/c", "total_energy_ev_per_cell": -92.431}

---

Entry 2:
{"formula": "LiTb2TlO5", "functional": "PBE", "state": "optimized geometry", "lattice": [[-1.511, -3.089, -0.546], [5.982, -1.452, 2.763], [-4.515, 0.441, 10.009]], "species": ["Tb", "Tb", "O", "Li", "O", "O", "Tl", "Tb", "O", "Li", "Tl", "O", "O", "O", "O", "O", "Tb", "O"], "fractional_positions": [[0.107, 0.214, 0.688], [0.158, 0.316, 0.256], [0.619, 0.238, 0.554], [0.235, 0.470, 0.014], [0.274, 0.548, 0.656], [0.530, 0.061, 0.281], [0.461, 0.922, 0.463], [0.893, 0.786, 0.188], [0.317, 0.634, 0.339], [0.765, 0.530, 0.514], [0.539, 0.078, 0.963], [0.071, 0.142, 0.074], [0.929, 0.858, 0.574], [0.381, 0.762, 0.054], [0.470, 0.939, 0.781], [0.726, 0.452, 0.156], [0.842, 0.684, 0.756], [0.683, 0.366, 0.839]], "space_group": "Cmc2_1", "total_energy_ev_per_cell": -118.732}

---

Entry 3:
{"formula": "LiTb2UO6", "functional": "PBE", "state": "optimized geometry", "lattice": [[-3.718, 3.746, 2.376], [-5.442, 0.305, -1.947], [-4.443, -2.145, 3.479]], "species": ["O", "U", "Li", "O", "O", "O", "O", "Tb", "O", "Tb"], "fractional_positions": [[0.602, 0.218, 0.241], [0.317, 0.317, 0.050], [0.800, 0.800, 0.601], [0.218, 0.939, 0.241], [0.692, 0.128, 0.766], [0.939, 0.603, 0.241], [0.128, 0.414, 0.766], [0.529, 0.529, 0.413], [0.414, 0.692, 0.766], [0.023, 0.023, 0.932]], "space_group": "R3", "total_energy_ev_per_cell": -83.931}

---

Entry 4:
{"formula": "LiTcO3", "functional": "PBE", "state": "optimized geometry", "lattice": [[3.465, 0.000, 0.000], [0.000, 3.465, 0.000], [0.000, 0.000, 3.465]], "species": ["O", "Tc", "O", "O", "Li"], "fractional_positions": [[0.000, 0.000, 0.500], [0.500, 0.500, 0.500], [0.500, 0.000, 0.000], [0.000, 0.500, 0.000], [0.000, 0.000, 0.000]], "space_group": "Pm-3m", "total_energy_ev_per_cell": -27.474}

---

Entry 5:
{"formula": "LiTcO3", "functional": "PBE", "state": "optimized geometry", "lattice": [[-3.062, 0.315, -1.751], [-1.760, -0.040, 3.072], [-1.764, 9.119, 1.148]], "species": ["Li", "O", "O", "O", "Tc", "O", "O", "O", "Li", "Tc"], "fractional_positions": [[0.000, 0.000, 0.000], [0.095, 0.353, 0.810], [0.309, 0.309, 0.382], [0.163, 0.905, 0.190], [0.637, 0.137, 0.727], [0.647, 0.905, 0.190], [0.095, 0.837, 0.810], [0.691, 0.691, 0.618], [0.250, 0.750, 0.500], [0.863, 0.363, 0.273]], "space_group": "I-4m2", "total_energy_ev_per_cell": -60.975}

---

Entry 6:
{"formula": "LiTcO3", "functional": "PBE", "state": "optimized geometry", "lattice": [[-1.183, -1.468, -15.934], [-3.645, -3.577, 0.600], [-2.065, 2.978, 5.206]], "species": ["Li", "Li", "Tc", "Tc", "O", "O", "O", "O", "O", "Tc", "O", "O", "O", "O", "O", "Li", "Tc", "O", "Li", "O"], "fractional_positions": [[0.652, 0.058, 0.244], [0.348, 0.942, 0.756], [0.990, 0.718, 0.052], [0.490, 0.782, 0.552], [0.345, 0.936, 0.074], [0.529, 0.202, 0.209], [0.134, 0.942, 0.236], [0.366, 0.442, 0.264], [0.655, 0.064, 0.926], [0.510, 0.218, 0.448], [0.845, 0.564, 0.574], [0.971, 0.702, 0.291], [0.029, 0.298, 0.709], [0.866, 0.058, 0.764], [0.471, 0.798, 0.791], [0.848, 0.558, 0.256], [0.010, 0.282, 0.948], [0.155, 0.436, 0.426], [0.152, 0.442, 0.744], [0.634, 0.558, 0.736]], "space_group": "P2_1/c", "total_energy_ev_per_cell": -140.572}

---

Entry 7:
{"formula": "Li4TcO4", "functional": "PBE", "state": "optimized geometry", "lattice": [[2.828, 0.000, 0.668], [1.216, 5.007, 1.174], [-0.001, -0.069, 6.322]], "species": ["O", "Li", "O", "Li", "Li", "O", "Tc", "O", "Li"], "fractional_positions": [[0.714, 0.864, 0.708], [0.294, 0.595, 0.816], [0.921, 0.281, 0.877], [0.706, 0.405, 0.184], [0.860, 0.890, 0.390], [0.079, 0.719, 0.123], [0.500, 0.000, 0.000], [0.286, 0.136, 0.292], [0.140, 0.110, 0.610]], "space_group": "C2/m", "total_energy_ev_per_cell": -53.478}

---

Entry 8:
{"formula": "LiTc3O", "functional": "PBE", "state": "optimized geometry", "lattice": [[-3.046, 0.911, -2.572], [0.014, -3.849, -1.380], [-2.728, -1.036, 2.864]], "species": ["Li", "O", "Tc", "Tc", "Tc"], "fractional_positions": [[0.000, 0.000, 0.000], [0.500, 0.500, 0.500], [0.000, 0.000, 0.500], [0.500, 0.000, 0.000], [0.000, 0.500, 0.000]], "space_group": "Pm-3m", "total_energy_ev_per_cell": -28.554, "de_polymorph_mev_per_atom": 1709.7}

---

Entry 9:
{"formula": "Li3TcO", "functional": "PBE", "state": "optimized geometry", "lattice": [[3.997, 0.000, 0.000], [0.000, 3.997, 0.000], [0.000, 0.000, 3.997]], "species": ["Li", "Tc", "Li", "Li", "O"], "fractional_positions": [[0.000, 0.500, 0.000], [0.500, 0.500, 0.500], [0.500, 0.000, 0.000], [0.000, 0.000, 0.500], [0.000, 0.000, 0.000]], "space_group": "Pm-3m", "total_energy_ev_per_cell": -21.820, "de_polymorph_mev_per_atom": 0.0}

---

Entry 10:
{"formula": "LiTc2O8", "functional": "PBE", "state": "optimized geometry", "lattice": [[6.167, -0.723, -1.434], [-0.404, 5.381, 0.509], [0.002, 0.723, 6.332]], "species": ["Tc", "O", "O", "O", "O", "O", "O", "O", "O", "Tc", "Li"], "fractional_positions": [[0.201, 0.682, 0.799], [0.122, 0.352, 0.878], [0.675, 0.176, 0.969], [0.878, 0.648, 0.122], [0.325, 0.824, 0.031], [0.969, 0.824, 0.675], [0.378, 0.735, 0.622], [0.622, 0.265, 0.378], [0.031, 0.176, 0.325], [0.799, 0.318, 0.201], [0.000, 0.000, 0.000]], "space_group": "C2/m", "total_energy_ev_per_cell": -75.874, "de_polymorph_mev_per_atom": 68.2}

---

Entry 11:
{"formula": "LiTcO3", "functional": "PBE", "state": "optimized geometry", "lattice": [[-2.174, -1.002, -4.363], [2.310, -3.757, 2.305], [-4.534, 1.546, 3.688]], "species": ["O", "O", "Li", "Li", "Tc", "O", "O", "O", "Tc", "O"], "fractional_positions": [[0.902, 0.255, 0.814], [0.471, 0.471, 0.733], [0.199, 0.199, 0.358], [0.801, 0.801, 0.642], [0.354, 0.646, 0.000], [0.098, 0.745, 0.186], [0.529, 0.529, 0.267], [0.255, 0.902, 0.814], [0.646, 0.354, 0.000], [0.745, 0.098, 0.186]], "space_group": "C2/m", "total_energy_ev_per_cell": -70.378}

---

Entry 12:
{"formula": "LiTc2O6", "functional": "PBE", "state": "optimized geometry", "lattice": [[5.907, 0.000, 0.000], [0.000, 5.126, -2.960], [0.000, 0.000, 5.919]], "species": ["Tc", "O", "Li", "Tc", "O", "O", "O", "O", "O"], "fractional_positions": [[0.727, 0.333, 0.667], [0.210, 0.831, 0.662], [0.000, 0.000, 0.000], [0.273, 0.667, 0.333], [0.210, 0.338, 0.169], [0.790, 0.169, 0.831], [0.790, 0.662, 0.831], [0.790, 0.169, 0.338], [0.210, 0.831, 0.169]], "space_group": "P-3m1", "total_energy_ev_per_cell": -62.369, "de_polymorph_mev_per_atom": 265.5}

---

Entry 13:
{"formula": "LiTcO3", "functional": "PBE", "state": "optimized geometry", "lattice": [[3.205, -1.851, 0.000], [0.000, 3.701, 0.000], [0.000, 0.000, 7.877]], "species": ["Li", "O", "Li", "Tc", "Tc", "O", "O", "O", "O", "O"], "fractional_positions": [[0.333, 0.667, 0.750], [0.667, 0.333, 0.490], [0.667, 0.333, 0.250], [0.000, 0.000, 0.500], [0.000, 0.000, 0.000], [0.333, 0.667, 0.510], [0.667, 0.333, 0.010], [0.333, 0.667, 0.990], [0.000, 0.000, 0.750], [0.000, 0.000, 0.250]], "space_group": "P6_3/mmc", "total_energy_ev_per_cell": -67.441}

---

Entry 14:
{"formula": "Li3TcO3", "functional": "PBE", "state": "optimized geometry", "lattice": [[8.011, 0.000, 0.000], [-4.005, 6.854, 0.000], [0.000, 0.000, 6.955]], "species": ["O", "O", "O", "Tc", "Li", "O", "Tc", "O", "Li", "O", "Li", "O", "O", "Li", "O", "Li", "Li", "Li", "Li", "Li", "O", "Li", "O", "Tc", "Li", "O", "Tc", "Li"], "fractional_positions": [[0.998, 0.658, 0.101], [0.301, 0.000, 0.446], [0.199, 0.000, 0.946], [0.913, 0.826, 0.000], [0.501, 0.626, 0.125], [0.502, 0.342, 0.601], [0.087, 0.174, 0.000], [0.002, 0.342, 0.899], [0.812, 0.000, 0.320], [0.839, 0.342, 0.399], [0.874, 0.374, 0.125], [0.498, 0.658, 0.399], [0.801, 0.000, 0.054], [0.312, 0.000, 0.180], [0.699, 0.000, 0.554], [0.999, 0.374, 0.625], [0.188, 0.000, 0.680], [0.688, 0.000, 0.820], [0.499, 0.374, 0.875], [0.374, 0.374, 0.375], [0.339, 0.342, 0.101], [0.001, 0.626, 0.375], [0.161, 0.658, 0.601], [0.413, 0.826, 0.500], [0.626, 0.626, 0.625], [0.661, 0.658, 0.899], [0.587, 0.174, 0.500], [0.126, 0.626, 0.875]], "space_group": "Cmce", "total_energy_ev_per_cell": -164.961}

---

Entry 15:
{"formula": "LiTcO3", "functional": "PBE", "state": "optimized geometry", "lattice": [[1.828, -6.036, 0.000], [1.828, 6.036, 0.000], [0.000, 0.000, 4.698]], "species": ["Tc", "Li", "Tc", "O", "O", "O", "O", "O", "O", "Li"], "fractional_positions": [[0.552, 0.448, 0.750], [0.165, 0.835, 0.250], [0.448, 0.552, 0.250], [0.609, 0.980, 0.250], [0.000, 0.000, 0.500], [0.000, 0.000, 0.000], [0.980, 0.609, 0.750], [0.391, 0.020, 0.750], [0.020, 0.391, 0.250], [0.835, 0.165, 0.750]], "space_group": "Cmcm", "total_energy_ev_per_cell": -61.609}

---

Entry 16:
{"formula": "LiTcO3", "functional": "PBE", "state": "optimized geometry", "lattice": [[5.703, 0.003, -0.104], [-2.116, 5.812, -0.190], [0.712, 1.646, 2.110]], "species": ["O", "O", "Tc", "Li", "O"], "fractional_positions": [[0.045, 0.800, 0.115], [0.048, 0.316, 0.096], [0.215, 0.608, 0.221], [0.850, 0.908, 0.605], [0.513, 0.755, 0.425]], "space_group": "Cm", "total_energy_ev_per_cell": -35.153}

---

Entry 17:
{"formula": "LiTc2O8", "functional": "PBE", "state": "optimized geometry", "lattice": [[6.330, 0.000, 0.000], [0.000, 5.904, 0.000], [0.000, -2.952, 5.113]], "species": ["O", "Tc", "O", "O", "Tc", "O", "O", "Li", "O", "O", "O"], "fractional_positions": [[0.046, 0.667, 0.333], [0.773, 0.667, 0.333], [0.954, 0.333, 0.667], [0.681, 0.345, 0.172], [0.227, 0.333, 0.667], [0.681, 0.828, 0.655], [0.681, 0.828, 0.172], [0.500, 0.000, 0.000], [0.319, 0.655, 0.828], [0.319, 0.172, 0.345], [0.319, 0.172, 0.828]], "space_group": "P-3m1", "total_energy_ev_per_cell": -76.624, "de_polymorph_mev_per_atom": 0.0}

---

Entry 18:
{"formula": "LiTcO3", "functional": "PBE", "state": "optimized geometry", "lattice": [[-2.295, -0.927, 1.418], [1.429, -5.727, -1.433], [5.395, -0.149, 5.974]], "species": ["O", "Tc", "Li", "O", "O", "O", "O", "Li", "Tc", "O"], "fractional_positions": [[0.869, 0.991, 0.217], [0.914, 0.250, 0.316], [0.388, 0.750, 0.258], [0.131, 0.491, 0.783], [0.493, 0.250, 0.485], [0.507, 0.750, 0.515], [0.869, 0.509, 0.217], [0.612, 0.250, 0.742], [0.086, 0.750, 0.684], [0.131, 0.009, 0.783]], "space_group": "P2_1/m", "total_energy_ev_per_cell": -69.340}

---

Entry 19:
{"formula": "Li2TcO5", "functional": "PBE", "state": "optimized geometry", "lattice": [[6.480, 0.000, 0.000], [0.000, 8.480, 0.000], [0.000, 0.000, 8.286]], "species": ["Li", "O", "O", "O", "Tc", "Tc", "O", "O", "O", "Li", "O", "Li", "O", "Li", "Li", "O", "Li", "O", "Li", "Tc", "Li", "O", "O", "O", "O", "Tc", "O", "O", "O", "O", "O", "O"], "fractional_positions": [[0.000, 0.138, 0.610], [0.500, 0.506, 0.590], [0.500, 0.411, 0.868], [0.000, 0.911, 0.632], [0.500, 0.266, 0.716], [0.000, 0.766, 0.784], [0.231, 0.747, 0.894], [0.500, 0.494, 0.410], [0.500, 0.095, 0.840], [0.282, 0.000, 0.000], [0.000, 0.006, 0.910], [0.000, 0.862, 0.390], [0.000, 0.595, 0.660], [0.718, 0.000, 0.000], [0.218, 0.500, 0.500], [0.000, 0.405, 0.340], [0.500, 0.362, 0.110], [0.731, 0.247, 0.606], [0.500, 0.638, 0.890], [0.000, 0.234, 0.216], [0.782, 0.500, 0.500], [0.231, 0.253, 0.106], [0.731, 0.753, 0.394], [0.500, 0.905, 0.160], [0.769, 0.253, 0.106], [0.500, 0.734, 0.284], [0.269, 0.247, 0.606], [0.769, 0.747, 0.894], [0.500, 0.589, 0.132], [0.000, 0.994, 0.090], [0.269, 0.753, 0.394], [0.000, 0.089, 0.368]], "space_group": "Pnnm", "total_energy_ev_per_cell": -205.748, "de_polymorph_mev_per_atom": 0.0}

---

Entry 20:
{"formula": "Li2Tc2O7", "functional": "PBE", "state": "optimized geometry", "lattice": [[-2.464, -4.622, 0.360], [3.294, -0.537, 4.394], [-4.263, 3.251, 1.307]], "species": ["Tc", "O", "O", "O", "Li", "O", "O", "Li", "O", "O", "Tc"], "fractional_positions": [[0.626, 0.752, 0.752], [0.209, 0.037, 0.378], [0.712, 0.443, 0.443], [0.209, 0.378, 0.037], [0.000, 0.326, 0.674], [0.500, 0.000, 0.000], [0.288, 0.557, 0.557], [0.000, 0.674, 0.326], [0.791, 0.622, 0.963], [0.791, 0.963, 0.622], [0.374, 0.248, 0.248]], "space_group": "C2/m", "total_energy_ev_per_cell": -76.824}